*P*
DFT (PBE) results for crystalline CeY3Ho4 at its relaxed geometry.

```
8
Lattice="5.817 -6.536 0.000 5.817 6.536 0.000 0.000 0.000 3.346" Properties=species:S:1:pos:R:3 pbc="T T T"
Ce 0.000 0.000 0.000
Y 2.909 3.268 1.673
Y 2.909 -3.268 1.673
Y 5.817 0.000 0.000
Ho 2.682 0.000 1.673
Ho 5.817 3.441 0.000
Ho 5.817 -3.441 0.000
Ho 8.952 0.000 1.673
```

Properties
- ρ: 6.96 g/cm³
- Space-group type: Cmmm, No. 65

=====

*Q*
DFT (PBE) results for crystalline CeY3Ho4 at its relaxed geometry.

```
8
Lattice="11.699 -1.710 0.000 11.699 1.710 0.000 -1.926 0.000 6.432" Properties=species:S:1:pos:R:3 pbc="T T T"
Ce 0.000 0.000 0.000
Y 7.538 0.000 4.062
Y 10.736 0.000 3.216
Y 13.934 0.000 2.370
Ho 5.182 0.000 1.518
Ho 8.556 0.000 0.754
Ho 12.916 0.000 5.678
Ho 16.290 0.000 4.913
```

Properties
- ρ: 6.88 g/cm³
- Space-group type: C2/m, No. 12

=====

Which structure is the least stable? The one labeled *P*.

=====

*P*
DFT (PBE) results for crystalline CeYHo6 at its relaxed geometry.

```
8
Lattice="4.996 0.000 0.000 0.000 4.996 0.000 0.000 0.000 9.971" Properties=species:S:1:pos:R:3 pbc="T T T"
Ce 0.000 0.000 0.000
Y 0.000 0.000 4.985
Ho 0.000 2.498 2.472
Ho 0.000 2.498 7.499
Ho 2.498 0.000 2.472
Ho 2.498 0.000 7.499
Ho 2.498 2.498 0.000
Ho 2.498 2.498 4.985
```

Properties
- ρ: 8.13 g/cm³
- Space-group type: P4/mmm, No. 123

=====

*Q*
DFT (PBE) results for crystalline CeYHo6 at its relaxed geometry.

```
8
Lattice="6.472 0.000 0.000 -0.115 6.721 0.000 -1.480 -3.282 5.811" Properties=species:S:1:pos:R:3 pbc="T T T"
Ce 0.000 0.000 0.000
Y 3.236 0.000 0.000
Ho 0.669 4.509 2.765
Ho 1.561 3.033 0.001
Ho 0.905 1.163 3.017
Ho 3.973 2.276 2.793
Ho 3.316 0.406 5.810
Ho 4.209 -1.070 3.045
```

Properties
- ρ: 8.01 g/cm³
- Space-group type: P-1, No. 2

=====

Which structure is the least stable? The one labeled *Q*.

=====

*P*
DFT (PBE) results for crystalline CeY2Ho8 at its relaxed geometry.

```
11
Lattice="9.017 -2.499 0.000 9.017 2.499 0.000 -2.083 0.000 7.628" Properties=species:S:1:pos:R:3 pbc="T T T"
Ce 0.000 0.000 0.000
Y 4.146 0.000 2.764
Y 11.804 0.000 4.864
Ho 0.678 0.000 3.461
Ho 1.358 0.000 6.919
Ho 4.860 0.000 6.263
Ho 7.653 0.000 2.059
Ho 8.297 0.000 5.568
Ho 11.090 0.000 1.365
Ho 14.593 0.000 0.708
Ho 15.272 0.000 4.167
```

Properties
- ρ: 7.91 g/cm³
- Space-group type: C2/m, No. 12

=====

*Q*
DFT (PBE) results for crystalline CeY2Ho8 at its relaxed geometry.

```
11
Lattice="9.544 -3.432 0.000 9.544 3.432 0.000 -0.283 0.000 5.525" Properties=species:S:1:pos:R:3 pbc="T T T"
Ce 0.000 0.000 0.000
Y 5.199 0.000 4.147
Y 13.605 0.000 1.378
Ho 6.951 1.613 1.477
Ho 3.487 0.000 1.287
Ho 11.854 1.613 4.048
Ho 8.436 0.000 4.214
Ho 10.368 0.000 1.311
Ho 6.951 -1.613 1.477
Ho 15.317 0.000 4.238
Ho 11.854 -1.613 4.048
```

Properties
- ρ: 7.51 g/cm³
- Space-group type: C2/m, No. 12

=====

Which structure is the least stable? The one labeled *Q*.

=====

*P*
DFT (PBE) results for crystalline CeY2Ho at its relaxed geometry.

```
4
Lattice="0.000 4.012 4.012 4.012 0.000 4.012 4.012 4.012 0.000" Properties=species:S:1:pos:R:3 pbc="T T T"
Ce 0.000 0.000 0.000
Y 2.006 2.006 2.006
Y 6.018 6.018 6.018
Ho 4.012 4.012 4.012
```

Properties
- ρ: 6.21 g/cm³
- Space-group type: Fm-3m, No. 225

=====

*Q*
DFT (PBE) results for crystalline CeY2Ho at its relaxed geometry.

```
4
Lattice="3.536 0.000 0.000 0.000 3.536 0.000 0.000 0.000 10.074" Properties=species:S:1:pos:R:3 pbc="T T T"
Ce 0.000 0.000 0.000
Y 1.768 1.768 2.492
Y 1.768 1.768 7.582
Ho 0.000 0.000 5.037
```

Properties
- ρ: 6.37 g/cm³
- Space-group type: P4/mmm, No. 123

=====

*R*
DFT (PBE) results for crystalline CeY2Ho at its relaxed geometry.

```
4
Lattice="1.709 0.987 12.336 -1.709 0.987 12.336 0.000 -1.974 12.336" Properties=species:S:1:pos:R:3 pbc="T T T"
Ce 0.000 0.000 0.000
Y 0.000 0.000 3.287
Y 0.000 0.000 33.722
Ho 0.000 0.000 18.504
```

Properties
- ρ: 6.42 g/cm³
- Space-group type: R-3m, No. 166

=====

*S*
DFT (PBE) results for crystalline CeY2Ho at its relaxed geometry.

```
4
Lattice="1.780 1.028 11.435 -1.780 1.028 11.435 0.000 -2.055 11.435" Properties=species:S:1:pos:R:3 pbc="T T T"
Ce 0.000 0.000 0.000
Y 0.000 0.000 14.293
Y 0.000 0.000 20.042
Ho 0.000 0.000 28.621
```

Properties
- ρ: 6.39 g/cm³
- Space-group type: R3m, No. 160

=====

Which structure is the least stable? The one labeled *R*.

=====

*P*
DFT (PBE) results for crystalline Ce2Y2Ho7 at its relaxed geometry.

```
11
Lattice="4.903 -5.492 0.000 4.903 5.492 0.000 -2.423 0.000 6.494" Properties=species:S:1:pos:R:3 pbc="T T T"
Ce 0.038 0.000 2.849
Ce 7.345 0.000 3.644
Y 4.903 1.752 0.000
Y 4.903 -1.752 0.000
Ho 2.441 2.768 2.020
Ho -0.605 0.000 6.442
Ho 4.942 2.768 4.474
Ho 3.691 0.000 3.247
Ho 2.441 -2.768 2.020
Ho 7.987 0.000 0.052
Ho 4.942 -2.768 4.474
```

Properties
- ρ: 7.66 g/cm³
- Space-group type: C2/m, No. 12

=====

*Q*
DFT (PBE) results for crystalline Ce2Y2Ho7 at its relaxed geometry.

```
11
Lattice="5.214 -9.536 0.000 5.214 9.536 0.000 0.000 0.000 3.560" Properties=species:S:1:pos:R:3 pbc="T T T"
Ce 5.214 5.108 0.000
Ce 5.214 -5.108 0.000
Y 2.368 0.000 0.000
Y 8.059 0.000 0.000
Ho 5.214 7.887 1.780
Ho 3.057 3.062 1.780
Ho 3.057 -3.062 1.780
Ho 5.214 0.000 1.780
Ho 7.370 3.062 1.780
Ho 7.370 -3.062 1.780
Ho 5.214 -7.887 1.780
```

Properties
- ρ: 7.56 g/cm³
- Space-group type: Cmmm, No. 65

=====

Which structure is the least stable? The one labeled *P*.

=====

*P*
DFT (PBE) results for crystalline CeY6Ho2 at its relaxed geometry.

```
18
Lattice="8.248 -5.810 0.000 8.248 5.810 0.000 -0.725 0.000 6.001" Properties=species:S:1:pos:R:3 pbc="T T T"
Ce 7.704 4.051 4.501
Ce 8.067 -4.051 1.500
Y 6.396 4.488 1.211
Y 3.447 1.314 2.282
Y 9.737 4.488 1.790
Y 6.880 1.321 2.748
Y 3.084 -1.314 5.283
Y 9.254 1.321 0.252
Y 6.517 -1.321 5.749
Y 12.687 1.314 0.718
Y 8.891 -1.321 3.253
Y 6.034 -4.488 4.211
Y 12.324 -1.314 3.718
Y 9.375 -4.488 4.790
Ho 4.789 1.693 5.511
Ho 5.151 -1.693 2.511
Ho 10.620 1.693 3.490
Ho 10.982 -1.693 0.489
```

Properties
- ρ: 5.79 g/cm³
- Space-group type: C2/c, No. 15

=====

*Q*
DFT (PBE) results for crystalline CeY6Ho2 at its relaxed geometry.

```
18
Lattice="4.258 -4.518 0.000 4.258 4.518 0.000 -0.777 0.000 15.351" Properties=species:S:1:pos:R:3 pbc="T T T"
Ce 3.675 2.415 11.513
Ce 4.064 -2.415 3.838
Y 1.247 0.624 13.519
Y 3.463 2.496 8.027
Y 2.574 0.497 1.806
Y 3.888 2.496 15.000
Y 1.636 -0.624 5.844
Y 2.185 -0.497 9.482
Y 5.554 0.497 5.869
Y 6.104 0.624 9.507
Y 3.851 -2.496 0.352
Y 5.166 -0.497 13.545
Y 4.277 -2.496 7.324
Y 6.492 -0.624 1.832
Ho 2.850 2.313 4.818
Ho 5.278 2.313 2.857
Ho 2.461 -2.313 12.494
Ho 4.890 -2.313 10.533
```

Properties
- ρ: 5.64 g/cm³
- Space-group type: C2/c, No. 15

=====

Which structure is the least stable? The one labeled *Q*.

=====

*P*
DFT (PBE) results for crystalline CeHoZn4 at its relaxed geometry.

```
6
Lattice="0.000 3.869 3.869 3.869 0.000 3.869 3.869 3.869 0.000" Properties=species:S:1:pos:R:3 pbc="T T T"
Ce 0.000 0.000 0.000
Ho 1.935 1.935 1.935
Zn 4.833 2.905 2.905
Zn 2.905 4.833 2.905
Zn 2.905 2.905 4.833
Zn 4.833 4.833 4.833
```

Properties
- ρ: 8.12 g/cm³
- Space-group type: F-43m, No. 216

=====

*Q*
DFT (PBE) results for crystalline CeHoZn4 at its relaxed geometry.

```
6
Lattice="-2.278 3.460 3.885 2.278 -3.460 3.885 2.278 3.460 -3.885" Properties=species:S:1:pos:R:3 pbc="T T T"
Ce 0.000 0.000 0.000
Ho 0.000 3.460 0.000
Zn 2.278 1.632 -1.297
Zn 2.278 1.632 1.297
Zn 0.000 1.828 2.588
Zn 0.000 1.828 5.182
```

Properties
- ρ: 7.68 g/cm³
- Space-group type: Immm, No. 71

=====

Which structure is the least stable? The one labeled *P*.

=====

*P*
DFT (PBE) results for crystalline Ce2HoZr at its relaxed geometry.

```
4
Lattice="0.000 3.827 3.827 3.827 0.000 3.827 3.827 3.827 0.000" Properties=species:S:1:pos:R:3 pbc="T T T"
Ce 1.914 1.914 1.914
Ce 5.741 5.741 5.741
Ho 0.000 0.000 0.000
Zr 3.827 3.827 3.827
```

Properties
- ρ: 7.94 g/cm³
- Space-group type: Fm-3m, No. 225

=====

*Q*
DFT (PBE) results for crystalline Ce2HoZr at its relaxed geometry.

```
4
Lattice="4.682 0.000 0.000 0.000 4.682 0.000 0.000 0.000 4.995" Properties=species:S:1:pos:R:3 pbc="T T T"
Ce 0.000 2.341 0.000
Ce 2.341 0.000 0.000
Ho 0.000 0.000 2.498
Zr 2.341 2.341 2.498
```

Properties
- ρ: 8.13 g/cm³
- Space-group type: P4/mmm, No. 123

=====

Which structure is the least stable? The one labeled *P*.

=====

*P*
DFT (PBE) results for crystalline Ce2HoZr at its relaxed geometry.

```
4
Lattice="3.293 0.000 0.000 0.000 3.293 0.000 0.000 0.000 10.120" Properties=species:S:1:pos:R:3 pbc="T T T"
Ce 0.000 0.000 2.405
Ce 0.000 0.000 7.715
Ho 1.646 1.646 5.060
Zr 1.646 1.646 0.000
```

Properties
- ρ: 8.12 g/cm³
- Space-group type: P4/mmm, No. 123

=====

*Q*
DFT (PBE) results for crystalline Ce2HoZr at its relaxed geometry.

```
4
Lattice="1.680 0.970 11.166 -1.680 0.970 11.166 0.000 -1.940 11.166" Properties=species:S:1:pos:R:3 pbc="T T T"
Ce 0.000 0.000 8.267
Ce 0.000 0.000 25.230
Ho 0.000 0.000 0.000
Zr 0.000 0.000 16.749
```

Properties
- ρ: 8.16 g/cm³
- Space-group type: R-3m, No. 166

=====

Which structure is the least stable? The one labeled *Q*.

=====

*P*
DFT (PBE) results for crystalline CeHo2Zr at its relaxed geometry.

```
4
Lattice="0.000 3.848 3.848 3.848 0.000 3.848 3.848 3.848 0.000" Properties=species:S:1:pos:R:3 pbc="T T T"
Ce 0.000 0.000 0.000
Ho 1.924 1.924 1.924
Ho 5.772 5.772 5.772
Zr 3.848 3.848 3.848
```

Properties
- ρ: 8.18 g/cm³
- Space-group type: Fm-3m, No. 225

=====

*Q*
DFT (PBE) results for crystalline CeHo2Zr at its relaxed geometry.

```
4
Lattice="4.778 0.000 0.000 0.000 4.778 0.000 0.000 0.000 4.931" Properties=species:S:1:pos:R:3 pbc="T T T"
Ce 0.000 0.000 0.000
Ho 0.000 2.389 2.466
Ho 2.389 0.000 2.466
Zr 2.389 2.389 0.000
```

Properties
- ρ: 8.28 g/cm³
- Space-group type: P4/mmm, No. 123

=====

*R*
DFT (PBE) results for crystalline CeHo2Zr at its relaxed geometry.

```
4
Lattice="1.653 0.955 11.868 -1.653 0.955 11.868 0.000 -1.909 11.868" Properties=species:S:1:pos:R:3 pbc="T T T"
Ce 0.000 0.000 0.000
Ho 0.000 0.000 14.684
Ho 0.000 0.000 20.919
Zr 0.000 0.000 17.802
```

Properties
- ρ: 8.29 g/cm³
- Space-group type: R-3m, No. 166

=====

Which structure is the least stable? The one labeled *R*.

=====

*P*
DFT (PBE) results for crystalline Ce2I3 at its relaxed geometry.

```
10
Lattice="0.000 6.697 4.506 6.528 0.000 4.506 6.528 6.697 0.000" Properties=species:S:1:pos:R:3 pbc="T T T"
Ce 7.134 1.639 4.506
Ce 3.870 1.710 2.253
Ce 2.658 4.988 2.253
Ce 5.922 11.756 4.506
I 5.694 4.236 3.128
I 10.625 7.584 5.381
I 7.361 9.159 3.128
I 6.528 6.697 6.224
I 2.430 5.810 5.381
I 9.792 10.046 8.477
```

Properties
- ρ: 5.57 g/cm³
- Space-group type: Fdd2, No. 43

=====

*Q*
DFT (PBE) results for crystalline Ce2I3 at its relaxed geometry.

```
10
Lattice="3.747 2.163 8.011 -3.747 2.163 8.011 0.000 -4.326 8.011" Properties=species:S:1:pos:R:3 pbc="T T T"
Ce 0.000 0.000 4.126
Ce 0.000 0.000 7.891
Ce 0.000 0.000 16.143
Ce 0.000 0.000 19.908
I -2.445 0.092 10.014
I -1.302 -2.071 14.020
I 1.143 -2.163 10.014
I -1.143 2.163 14.019
I 1.302 2.071 10.014
I 2.445 -0.092 14.019
```

Properties
- ρ: 5.63 g/cm³
- Space-group type: R-3c, No. 167

=====

Which structure is the least stable? The one labeled *Q*.